(1)
NaTa3W | PBE-GGA | relaxed

Properties
Relative energy among the computed polymorphs   0 meV/atom
M_tot   0.0 Bohr magnetons per cell
Density of states at the Fermi level   6.302 states/eV/cell
Crystal system   cubic
Formation energy from the elements   1500 meV per atom

Cell lengths 4.9557, 4.9557, 4.9557 Å; angles 90.00, 90.00, 90.00 degrees
With the nearest neighbours (Å) after each atom.
Sites, in units of the cell vectors:
Na: 0.0000 0.0000 0.0000  12 Ta 3.50
Ta: 0.0000 0.5000 0.5000  2 W 2.48
Ta: 0.5000 0.0000 0.5000  2 W 2.48
Ta: 0.5000 0.5000 0.0000  2 W 2.48
W: 0.5000 0.5000 0.5000  6 Ta 2.48


(2)
Ac7In2Pb2 | PBE-GGA | relaxed

Properties
M_tot   0.0 Bohr magnetons per cell
Density of states at the Fermi level   14.764 states/eV/cell
Crystal system   orthorhombic
Formation energy from the elements   -114 meV per atom

Cell lengths 7.5770, 7.5770, 8.4719 Å; angles 90.00, 90.00, 109.62 degrees
With the nearest neighbours (Å) after each atom.
Sites, in units of the cell vectors:
Ac: 0.0000 0.0000 0.0000  2 In 3.53
Ac: 0.0000 0.5000 0.2904  2 In 3.32, 1 Ac 3.55, 2 Pb 3.62
Ac: 0.0000 0.5000 0.7096  2 In 3.32, 1 Ac 3.55, 2 Pb 3.62
Ac: 0.5000 0.0000 0.2904  2 In 3.32, 1 Ac 3.55, 2 Pb 3.62
Ac: 0.5000 0.0000 0.7096  2 In 3.32, 1 Ac 3.55, 2 Pb 3.62
Ac: 0.5000 0.5000 0.2485  2 In 3.39, 2 Pb 3.53
Ac: 0.5000 0.5000 0.7515  2 In 3.39, 2 Pb 3.53
In: 0.2852 0.7148 0.0000  7 Ac 3.32-3.53
In: 0.7148 0.2852 0.0000  7 Ac 3.32-3.53
Pb: 0.1784 0.1784 0.5000  1 Pb 3.12
Pb: 0.8216 0.8216 0.5000  1 Pb 3.12


no.,V (Å³ per cell)
1,121.71
2,458.14